First-principles (GGA-PBE) data for CaErAs2O8 after structural relaxation, as listed in the Alexandria database.

The raw total energy comes out at -160.0 eV per cell. The value obtained for the total magnetization is 0.091 μB per atom. Its uncorrected formation energy is -2.039 eV per atom.

The structure belongs to space group I-4 (No. 82); the cell edges are 5.067, 5.067 and 11.453 Å and the angles 90.00°, 90.00° and 90.00°. Symmetry generates all atoms from Ca at (0.000, 0.000, 0.000), Er at (0.000, 0.500, 0.750), As at (0.000, 0.000, 0.500), As at (0.000, 0.500, 0.250), O at (0.138, 0.252, 0.582) and O at (0.151, 0.752, 0.173).